# 1
## Pr4Sm6Th (PBE)

Data for crystalline Pr4Sm6Th at its relaxed geometry.

Cell and atoms, written as POSCAR:
```
Pr4Sm6Th
1.0
2.983 -4.878 0.000
2.983 4.878 0.000
0.000 0.000 26.145
Pr Sm Th
8 12 2
Direct
0.053 0.947 0.623
0.053 0.947 0.877
0.352 0.648 0.544
0.352 0.648 0.956
0.648 0.352 0.044
0.648 0.352 0.456
0.947 0.053 0.123
0.947 0.053 0.377
0.000 0.000 0.000
0.000 0.000 0.500
0.059 0.941 0.750
0.297 0.703 0.103
0.297 0.703 0.397
0.386 0.614 0.684
0.386 0.614 0.816
0.614 0.386 0.184
0.614 0.386 0.316
0.703 0.297 0.603
0.703 0.297 0.897
0.941 0.059 0.250
0.281 0.719 0.250
0.719 0.281 0.750
```

Values from the calculation:
* E_tot: -4.853 eV/atom
* size of the total moment: 0.0 μB per cell



# 2
## SnOsCl2 (PBE)

Data for crystalline SnOsCl2 at its relaxed geometry.

Cell and atoms, written as POSCAR:
```
SnOsCl2
1.0
6.945 0.000 0.000
0.000 6.945 0.000
0.000 0.000 6.945
Sn Os Cl
4 4 8
Direct
0.000 0.000 0.000
0.000 0.500 0.500
0.500 0.000 0.500
0.500 0.500 0.000
0.000 0.000 0.500
0.000 0.500 0.000
0.500 0.000 0.000
0.500 0.500 0.500
0.250 0.250 0.250
0.250 0.250 0.750
0.250 0.750 0.250
0.250 0.750 0.750
0.750 0.250 0.250
0.750 0.250 0.750
0.750 0.750 0.250
0.750 0.750 0.750
```

Values from the calculation:
* E_tot: -3.772 eV/atom
* size of the total moment: 11.6 μB per cell



# 3
## SrC3 (PBE)

Data for crystalline SrC3 at its relaxed geometry.

Cell and atoms, written as POSCAR:
```
SrC3
1.0
3.239 0.000 0.000
0.000 3.239 0.000
0.000 0.000 5.123
Sr C
1 3
Direct
0.000 0.000 0.000
0.000 0.000 0.500
0.500 0.500 0.371
0.500 0.500 0.629
```

Values from the calculation:
* E_tot: -5.535 eV/atom
* size of the total moment: 0.0 μB per cell



# 4
## LaIn2Fe (PBE)

Data for crystalline LaIn2Fe at its relaxed geometry.

Cell and atoms, written as POSCAR:
```
LaIn2Fe
1.0
7.950 0.000 0.000
0.000 4.515 0.000
-2.590 0.000 5.661
La In Fe
2 4 2
Direct
0.000 0.000 0.000
0.500 0.500 0.000
0.215 0.000 0.647
0.285 0.500 0.353
0.715 0.500 0.647
0.785 0.000 0.353
0.000 0.500 0.500
0.500 0.000 0.500
```

Values from the calculation:
* E_tot: -4.782 eV/atom
* size of the total moment: 4.9 μB per cell



# 5
## BiCN2 (PBE)

Data for crystalline BiCN2 at its relaxed geometry.

Cell and atoms, written as POSCAR:
```
BiCN2
1.0
4.927 0.000 0.000
0.000 4.927 0.000
0.000 0.000 7.069
Bi C N
4 4 8
Direct
0.000 0.000 0.000
0.000 0.500 0.250
0.500 0.000 0.750
0.500 0.500 0.500
0.000 0.000 0.500
0.000 0.500 0.750
0.500 0.000 0.250
0.500 0.500 0.000
0.087 0.250 0.625
0.250 0.587 0.875
0.250 0.913 0.375
0.413 0.250 0.125
0.587 0.750 0.125
0.750 0.087 0.375
0.750 0.413 0.875
0.913 0.750 0.625
```

Values from the calculation:
* E_tot: -6.118 eV/atom
* size of the total moment: 0.0 μB per cell



# 6
## Ca2MgCu3Au12 (PBE)

Data for crystalline Ca2MgCu3Au12 at its relaxed geometry.

Cell and atoms, written as POSCAR:
```
Ca2MgCu3Au12
1.0
4.249 2.453 6.448
-4.249 2.453 6.448
0.000 -4.906 6.448
Ca Mg Cu Au
2 1 3 12
Direct
0.106 0.106 0.106
0.894 0.894 0.894
0.500 0.500 0.500
0.000 0.500 0.500
0.500 0.000 0.500
0.500 0.500 0.000
0.115 0.639 0.639
0.134 0.134 0.612
0.134 0.612 0.134
0.361 0.361 0.885
0.361 0.885 0.361
0.388 0.866 0.866
0.612 0.134 0.134
0.639 0.115 0.639
0.639 0.639 0.115
0.866 0.388 0.866
0.866 0.866 0.388
0.885 0.361 0.361
```

Values from the calculation:
* E_tot: -3.232 eV/atom
* size of the total moment: 0.0 μB per cell



Please write out number 3 again, unchanged.
## SrC3 (PBE)

Data for crystalline SrC3 at its relaxed geometry.

Cell and atoms, written as POSCAR:
```
SrC3
1.0
3.239 0.000 0.000
0.000 3.239 0.000
0.000 0.000 5.123
Sr C
1 3
Direct
0.000 0.000 0.000
0.000 0.000 0.500
0.500 0.500 0.371
0.500 0.500 0.629
```

Values from the calculation:
* E_tot: -5.535 eV/atom
* size of the total moment: 0.0 μB per cell



Question: E_tot of number 6 (Ca2MgCu3Au12)?
Answer: -3.232 eV/atom



Question: The highest E_tot belongs to which entry?
Answer: Ca2MgCu3Au12



Question: Among the records above, which one has the highest size of the total moment?
Answer: SnOsCl2